Entry 1:
Below is a geometry-optimized MnCu2HPt structure, with properties calculated at the PBE level.

The value obtained for the size of the total moment is 4.413 μB/f.u. Its final energy is -5.35 eV/atom. The calculation puts the offset from the most stable computed form at 0.28 eV per formula unit.

Cell: 3.861 3.861 3.870 Å, 90.00 90.00 90.00°
Fractional coordinates of all 5 atoms:
H 0.000 0.000 0.000
Mn 0.500 0.500 0.500
Cu 0.000 0.500 0.000
Cu 0.500 0.000 0.000
Pt 0.000 0.000 0.500

=====

Entry 2:
Below is a geometry-optimized MnCuHPt2 structure, with properties calculated at the PBE level.

The value obtained for the size of the total moment is 4.787 μB/f.u. Its final energy is -5.91 eV/atom. The calculation puts the offset from the most stable computed form at 0.00 eV per formula unit.

Cell: 4.014 4.014 3.798 Å, 90.00 90.00 90.00°
Fractional coordinates of all 5 atoms:
H 0.000 0.000 0.000
Mn 0.500 0.500 0.500
Cu 0.000 0.000 0.500
Pt 0.000 0.500 0.000
Pt 0.500 0.000 0.000

=====

Entry 3:
Below is a geometry-optimized Mn2CuReH structure, with properties calculated at the PBE level.

The value obtained for the size of the total moment is 3.273 μB/f.u. Its final energy is -7.42 eV/atom. The calculation puts the offset from the most stable computed form at 0.04 eV per formula unit.

Cell: 3.723 3.723 3.790 Å, 90.00 90.00 90.00°
Fractional coordinates of all 5 atoms:
Re 0.000 0.000 0.500
Mn 0.000 0.500 0.000
Mn 0.500 0.000 0.000
Cu 0.500 0.500 0.500
H 0.000 0.000 0.000